[1]
A plane-wave DFT calculation with PBE-GGA was carried out for a relaxed structure of Pm3Sm6Ho2In.

Cell: 6.221 6.221 11.791 Å, 95.11 95.11 120.14°
Fractional positions:
Pm  0.168  0.832  0.500
Pm  0.832  0.168  0.500
Pm  0.500  0.500  0.500
Sm  0.920  0.593  0.757
Sm  0.754  0.754  0.245
Sm  0.080  0.407  0.243
Sm  0.593  0.920  0.757
Sm  0.246  0.246  0.755
Sm  0.407  0.080  0.243
Ho  0.334  0.666  0.000
Ho  0.666  0.334  0.000
In  0.000  0.000  0.000

Computed properties:
- formation energy (eV/atom) = -0.035
- VASP energy (eV/atom) = -4.573
- V (Å³/cell) = 388.28
- symmetry = C2/m
- crystal system = monoclinic
- DOS at the Fermi energy (states/eV/f.u.) = 15.24
- spin magnetization (Bohr magnetons per cell) = 0.00

***

[2]
A plane-wave DFT calculation with PBE-GGA was carried out for a relaxed structure of PmSmHo2In4.

Cell: 5.360 5.360 9.301 Å, 73.25 73.25 60.00°
Fractional positions:
Pm  0.000  0.000  0.000
Sm  0.500  0.500  0.500
Ho  0.750  0.750  0.750
Ho  0.250  0.250  0.250
In  0.375  0.375  0.874
In  0.875  0.875  0.376
In  0.125  0.125  0.624
In  0.625  0.625  0.126

Computed properties:
- formation energy (eV/atom) = -0.473
- VASP energy (eV/atom) = -4.170
- V (Å³/cell) = 218.22
- symmetry = R-3m
- crystal system = trigonal
- DOS at the Fermi energy (states/eV/f.u.) = 3.69
- spin magnetization (Bohr magnetons per cell) = 0.00

***

[3]
A plane-wave DFT calculation with PBE-GGA was carried out for a relaxed structure of Pm2Sm2Ho2In.

Cell: 3.560 6.148 11.621 Å, 111.46 90.00 106.83°
Fractional positions:
Pm  0.531  0.062  0.754
Pm  0.469  0.938  0.246
Sm  0.673  0.346  0.085
Sm  0.327  0.654  0.915
Ho  0.749  0.497  0.629
Ho  0.251  0.503  0.371
In  0.000  0.000  0.500

Computed properties:
- formation energy (eV/atom) = -0.028
- VASP energy (eV/atom) = -4.433
- V (Å³/cell) = 224.96
- symmetry = C2/m
- crystal system = monoclinic
- DOS at the Fermi energy (states/eV/f.u.) = 10.71
- spin magnetization (Bohr magnetons per cell) = 0.00

***

[4]
A plane-wave DFT calculation with PBE-GGA was carried out for a relaxed structure of PmHoInSn.

Cell: 4.598 4.351 6.214 Å, 90.00 111.72 90.00°
Fractional positions:
Pm  0.863  0.500  0.727
Ho  0.136  0.000  0.273
In  0.413  0.000  0.826
Sn  0.587  0.500  0.174

Computed properties:
- formation energy (eV/atom) = -0.611
- VASP energy (eV/atom) = -4.628
- V (Å³/cell) = 115.50
- offset from the most stable computed form (meV per atom) = 0
- symmetry = Amm2
- crystal system = orthorhombic
- DOS at the Fermi energy (states/eV/f.u.) = 3.67
- spin magnetization (Bohr magnetons per cell) = 0.00

***

[5]
A plane-wave DFT calculation with PBE-GGA was carried out for a relaxed structure of PmHoInSn.

Cell: 5.385 5.385 5.385 Å, 60.00 60.00 60.00°
Fractional positions:
In  0.750  0.750  0.750
Ho  0.000  0.000  0.000
Sn  0.250  0.250  0.250
Pm  0.500  0.500  0.500

Computed properties:
- formation energy (eV/atom) = -0.510
- VASP energy (eV/atom) = -4.527
- V (Å³/cell) = 110.44
- offset from the most stable computed form (meV per atom) = 101
- symmetry = F-43m
- crystal system = cubic
- DOS at the Fermi energy (states/eV/f.u.) = 3.24
- spin magnetization (Bohr magnetons per cell) = 0.00

***

[6]
A plane-wave DFT calculation with PBE-GGA was carried out for a relaxed structure of Tb6Pm3Ho2In.

Cell: 6.153 6.153 11.682 Å, 95.07 95.07 120.04°
Fractional positions:
Tb  0.920  0.592  0.757
Tb  0.753  0.753  0.245
Tb  0.080  0.408  0.243
Tb  0.592  0.920  0.757
Tb  0.247  0.247  0.755
Tb  0.408  0.080  0.243
Pm  0.168  0.832  0.500
Pm  0.832  0.168  0.500
Pm  0.500  0.500  0.500
Ho  0.334  0.666  0.000
Ho  0.666  0.334  0.000
In  0.000  0.000  0.000

Computed properties:
- formation energy (eV/atom) = -0.039
- VASP energy (eV/atom) = -4.532
- V (Å³/cell) = 376.80
- symmetry = C2/m
- crystal system = monoclinic
- DOS at the Fermi energy (states/eV/f.u.) = 16.20
- spin magnetization (Bohr magnetons per cell) = 0.00

***

[7]
A plane-wave DFT calculation with PBE-GGA was carried out for a relaxed structure of Tb6Pm2Ho3In.

Cell: 6.105 6.105 11.720 Å, 94.99 94.99 120.04°
Fractional positions:
Tb  0.917  0.590  0.750
Tb  0.756  0.756  0.251
Tb  0.083  0.410  0.250
Tb  0.590  0.917  0.750
Tb  0.244  0.244  0.749
Tb  0.410  0.083  0.250
Pm  0.334  0.666  0.000
Pm  0.666  0.334  0.000
Ho  0.167  0.833  0.500
Ho  0.833  0.167  0.500
Ho  0.500  0.500  0.500
In  0.000  0.000  0.000

Computed properties:
- formation energy (eV/atom) = -0.054
- VASP energy (eV/atom) = -4.533
- V (Å³/cell) = 372.33
- symmetry = C2/m
- crystal system = monoclinic
- DOS at the Fermi energy (states/eV/f.u.) = 14.84
- spin magnetization (Bohr magnetons per cell) = 0.00

***

[8]
A plane-wave DFT calculation with PBE-GGA was carried out for a relaxed structure of Tb2Pm2Ho2In.

Cell: 3.573 7.129 10.531 Å, 62.31 90.00 104.51°
Fractional positions:
Tb  0.631  0.262  0.632
Tb  0.369  0.738  0.368
Pm  0.618  0.237  0.025
Pm  0.382  0.763  0.975
Ho  0.697  0.394  0.278
Ho  0.303  0.606  0.722
In  0.000  0.000  0.500

Computed properties:
- formation energy (eV/atom) = 0.038
- VASP energy (eV/atom) = -4.341
- V (Å³/cell) = 227.83
- symmetry = C2/m
- crystal system = monoclinic
- DOS at the Fermi energy (states/eV/f.u.) = 9.81
- spin magnetization (Bohr magnetons per cell) = 0.00

***

[9]
A plane-wave DFT calculation with PBE-GGA was carried out for a relaxed structure of TbPm2Ho5In.

Cell: 5.362 10.426 10.515 Å, 90.00 90.00 104.90°
Fractional positions:
Tb  0.792  0.584  0.508
Tb  0.208  0.416  0.008
Pm  0.884  0.767  0.800
Pm  0.116  0.233  0.717
Pm  0.116  0.233  0.300
Pm  0.884  0.767  0.217
Ho  0.385  0.769  0.008
Ho  0.710  0.421  0.810
Ho  0.500  0.000  0.758
Ho  0.290  0.579  0.707
Ho  0.988  0.976  0.508
Ho  0.615  0.231  0.508
Ho  0.290  0.579  0.310
Ho  0.500  0.000  0.258
Ho  0.710  0.421  0.207
Ho  0.012  0.024  0.008
In  0.595  0.191  0.008
In  0.405  0.809  0.508

Computed properties:
- formation energy (eV/atom) = -0.012
- VASP energy (eV/atom) = -4.429
- V (Å³/cell) = 568.07
- symmetry = Cmcm
- crystal system = orthorhombic
- DOS at the Fermi energy (states/eV/f.u.) = 12.36
- spin magnetization (Bohr magnetons per cell) = 0.00

***

[10]
A plane-wave DFT calculation with PBE-GGA was carried out for a relaxed structure of PmHoInTc.

Cell: 5.131 5.131 5.131 Å, 60.00 60.00 60.00°
Fractional positions:
Tc  0.250  0.250  0.250
In  0.750  0.750  0.750
Ho  0.500  0.500  0.500
Pm  0.000  0.000  0.000

Computed properties:
- formation energy (eV/atom) = -0.093
- VASP energy (eV/atom) = -5.701
- V (Å³/cell) = 95.49
- symmetry = F-43m
- crystal system = cubic
- DOS at the Fermi energy (states/eV/f.u.) = 3.50
- spin magnetization (Bohr magnetons per cell) = 0.00

***

[11]
A plane-wave DFT calculation with PBE-GGA was carried out for a relaxed structure of PmHo2In3Te6.

Cell: 7.676 7.676 8.507 Å, 98.66 98.66 119.99°
Fractional positions:
Pm  0.000  0.000  0.000
Ho  0.333  0.667  0.000
Ho  0.667  0.333  0.000
In  0.164  0.836  0.500
In  0.836  0.164  0.500
In  0.500  0.500  0.500
Te  0.926  0.586  0.779
Te  0.732  0.732  0.219
Te  0.074  0.414  0.221
Te  0.586  0.926  0.779
Te  0.268  0.268  0.781
Te  0.414  0.074  0.221

Computed properties:
- VASP energy (eV/atom) = -4.385
- V (Å³/cell) = 414.03
- symmetry = C2/m
- crystal system = monoclinic
- DOS at the Fermi energy (states/eV/f.u.) = 1.13
- spin magnetization (Bohr magnetons per cell) = 0.00

***

[12]
A plane-wave DFT calculation with PBE-GGA was carried out for a relaxed structure of Pm2HoIn3Te6.

Cell: 7.734 7.734 8.511 Å, 98.71 98.71 120.00°
Fractional positions:
Pm  0.334  0.666  0.000
Pm  0.666  0.334  0.000
Ho  0.000  0.000  0.000
In  0.169  0.831  0.500
In  0.831  0.169  0.500
In  0.500  0.500  0.500
Te  0.926  0.600  0.778
Te  0.749  0.749  0.224
Te  0.074  0.400  0.222
Te  0.600  0.926  0.778
Te  0.251  0.251  0.776
Te  0.400  0.074  0.222

Computed properties:
- VASP energy (eV/atom) = -4.409
- V (Å³/cell) = 420.13
- symmetry = C2/m
- crystal system = monoclinic
- DOS at the Fermi energy (states/eV/f.u.) = 1.28
- spin magnetization (Bohr magnetons per cell) = 0.00

***

Among the records above, which one has the highest DOS at the Fermi energy? Tb6Pm3Ho2In

***

Which value of V does entry 5 give? 110.44 Å³/cell

***

spin magnetization of number 2 (PmSmHo2In4)? 0.00 Bohr magnetons per cell

***

What is the VASP energy in the eleventh record? -4.385 eV/atom